Record 1
LaCeTh: relaxed, PBE.

Summary:
Calculated formation energy, eV/atom: 0.055
Electronic total energy, eV per atom: -6.039
Crystal system: trigonal
Symmetry: No. 156
Fermi-level density of states, states/eV/cell: 6.8
Total magnetization, μB/f.u.: 0.00

```
LaCeTh
1.0
3.5434 0.0000 0.0000
-1.7717 3.0687 0.0000
0.0000 0.0000 8.6779
Ce Th La
1 1 1
Cartesian
1.7717 1.0229 2.9471
0.0000 2.0458 5.7153
0.0000 0.0000 0.0156
```

=====

Record 2
BaUCd2S6: relaxed, PBE.

Summary:
Electronic total energy, eV per atom: -4.999
Crystal system: trigonal
Raw formation energy, eV per formula unit: -10.18
Symmetry: No. 146
Total magnetization, μB/f.u.: 0.00

```
BaUCd2S6
1.0
6.9147 0.0008 -0.0005
3.4580 5.9894 -0.0013
3.4567 1.9959 6.3064
Ba U Cd S
1 1 2 6
Cartesian
10.3718 5.9901 3.8343
3.4573 1.9966 0.0594
6.9155 3.9932 2.6245
10.3732 5.9908 0.0479
5.6517 1.9749 1.5014
5.7992 6.0951 1.4989
9.2937 3.9087 1.4999
7.4612 5.8897 4.7483
8.2838 2.5708 4.7483
4.9979 3.5180 4.7483
```

=====

Record 3
GdNiSnAu: relaxed, PBE.

Summary:
Calculated formation energy, eV/atom: -0.486
Electronic total energy, eV per atom: -7.272
Crystal system: cubic
Symmetry: No. 216
Fermi-level density of states, states/eV/cell: 2.7
Total magnetization, μB/f.u.: 7.11

```
GdNiSnAu
1.0
4.8334 0.0000 0.0000
2.4167 4.1858 0.0000
2.4167 1.3953 3.9464
Ni Gd Au Sn
1 1 1 1
Cartesian
2.4167 1.3953 0.9866
4.8334 2.7906 1.9732
7.2501 4.1858 2.9598
0.0000 0.0000 0.0000
```

=====

- Which value of total magnetization does entry 2 give?
  0.00 μB/f.u.